VASP calculation (PBE) on an optimized crystal structure of La2InGaAu6.

extended XYZ file:
```
10
Lattice="6.9175 -0.5899 -1.3874 -0.3407 6.9998 1.2191 2.4228 4.2632 5.1681" Properties=species:S:1:pos:R:3 pbc="T T T"
La 6.2600 3.5439 1.9615
La 2.7396 7.1291 3.0383
In 3.2884 3.2049 -0.0841
Ga 0.0000 0.0000 0.0000
Au 3.0401 4.0026 2.5991
Au 8.1372 8.3118 3.9732
Au 1.6746 5.3897 0.6175
Au 7.3250 5.2834 4.3823
Au 0.8624 2.3612 1.0266
Au 5.9595 6.6704 2.4007
```

Computed properties:
DFT formation energy in eV/atom: -0.50


VASP calculation (PBE) on an optimized crystal structure of Ba2NaMoI.

extended XYZ file:
```
5
Lattice="-3.8738 5.2737 1.2965 -1.2044 -1.9953 4.5175 5.1957 3.1355 2.7701" Properties=species:S:1:pos:R:3 pbc="T T T"
I 0.0000 0.0000 0.0000
Na 0.0587 3.2070 4.2920
Mo -0.6022 -0.9976 2.2587
Ba 2.5978 1.5677 1.3851
Ba -1.9369 2.6369 0.6482
```

Computed properties:
Formation energy from raw total energies in meV/atom: 476


Copy entry 1 word for word.
VASP calculation (PBE) on an optimized crystal structure of La2InGaAu6.

extended XYZ file:
```
10
Lattice="6.9175 -0.5899 -1.3874 -0.3407 6.9998 1.2191 2.4228 4.2632 5.1681" Properties=species:S:1:pos:R:3 pbc="T T T"
La 6.2600 3.5439 1.9615
La 2.7396 7.1291 3.0383
In 3.2884 3.2049 -0.0841
Ga 0.0000 0.0000 0.0000
Au 3.0401 4.0026 2.5991
Au 8.1372 8.3118 3.9732
Au 1.6746 5.3897 0.6175
Au 7.3250 5.2834 4.3823
Au 0.8624 2.3612 1.0266
Au 5.9595 6.6704 2.4007
```

Computed properties:
DFT formation energy in eV/atom: -0.50


- Number 2 is which compound?
  Ba2NaMoI